[1]
First-principles (GGA-PBE) data for a relaxed structure of Dy5Y2Sc4, as listed in Alexandria via LeMat-Bulk.

## Properties
As for the calculated formation energy: 18.29 kJ/mol of atoms. The value obtained for the theoretical density is 5.98 g/cm³. The calculation puts the excess energy over the best structure of this formula in the dataset at 0.0756 eV per atom.

a = 6.779 Å, b = 6.779 Å, c = 10.098 Å
α = 119.80°, β = 119.80°, γ = 58.44°
Atoms (fractional coordinates):
Dy 0.000 0.000 0.000
Dy 0.111 0.572 0.333
Dy 0.428 0.889 0.667
Dy 0.572 0.111 0.333
Dy 0.889 0.428 0.667
Y 0.424 0.424 0.735
Y 0.576 0.576 0.265
Sc 0.096 0.096 0.368
Sc 0.258 0.258 0.973
Sc 0.742 0.742 0.027
Sc 0.904 0.904 0.632

***

[2]
First-principles (GGA-PBE) data for a relaxed structure of Dy4Y5Sc4, as listed in Alexandria via LeMat-Bulk.

## Properties
As for the calculated formation energy: 4.79 kJ/mol of atoms. The value obtained for the theoretical density is 5.52 g/cm³.

a = 9.175 Å, b = 9.175 Å, c = 9.175 Å
α = 94.10°, β = 94.10°, γ = 148.99°
Atoms (fractional coordinates):
Dy 0.078 0.618 0.696
Dy 0.382 0.078 0.459
Dy 0.618 0.922 0.541
Dy 0.922 0.382 0.304
Y 0.000 0.000 0.000
Y 0.307 0.459 0.766
Y 0.459 0.693 0.152
Y 0.541 0.307 0.848
Y 0.693 0.541 0.234
Sc 0.156 0.233 0.389
Sc 0.233 0.844 0.076
Sc 0.767 0.156 0.924
Sc 0.844 0.767 0.611

***

[3]
First-principles (GGA-PBE) data for a relaxed structure of DyY2Sc, as listed in Alexandria via LeMat-Bulk.

## Properties
As for the calculated formation energy: 5.10 kJ/mol of atoms. The value obtained for the theoretical density is 5.32 g/cm³. The calculation puts the excess energy over the best structure of this formula in the dataset at 0.0279 eV per atom.

a = 11.498 Å, b = 11.498 Å, c = 11.498 Å
α = 17.52°, β = 17.52°, γ = 17.52°
Atoms (fractional coordinates):
Dy 0.000 0.000 0.000
Y 0.247 0.247 0.247
Y 0.753 0.753 0.753
Sc 0.500 0.500 0.500

***

theoretical density of number 1 (Dy5Y2Sc4)? 5.98 g/cm³

***

Look up the theoretical density of the second one. 5.52 g/cm³